[1]
# BaZn2InPt GGA-PBE relaxed
# DFT total energy in eV per atom: -3.0666
# Formation energy from the elements in eV/atom: -0.42
# Size of the total moment in Bohr magnetons per cell: 0.000
data_BaZn2InPt
_chemical_formula_sum 'Ba1 Zn2 In1 Pt1'
_space_group_name_H-M_alt 'P 4/m m m'
_space_group_IT_number 123
_space_group_name_Hall '-P 4 2'
_cell_length_a 4.9949
_cell_length_b 4.9949
_cell_length_c 5.1984
_cell_angle_alpha 90.00
_cell_angle_beta 90.00
_cell_angle_gamma 90.00
loop_
_atom_site_label
_atom_site_type_symbol
_atom_site_fract_x
_atom_site_fract_y
_atom_site_fract_z
Ba1 Ba 0.0000 0.0000 0.0000
Zn1 Zn 0.0000 0.5000 0.5000
In1 In 0.5000 0.5000 0.0000
Pt1 Pt 0.5000 0.5000 0.5000

[2]
# BaZnInPt2 GGA-PBE relaxed
# DFT total energy in eV per atom: -4.2430
# Formation energy from the elements in eV/atom: -0.64
# Size of the total moment in Bohr magnetons per cell: 0.000
data_BaZnInPt2
_chemical_formula_sum 'Ba2 Zn2 In2 Pt4'
_space_group_name_H-M_alt 'I -4 m 2'
_space_group_IT_number 119
_space_group_name_Hall 'I -4 -2'
_cell_length_a 4.4587
_cell_length_b 4.4587
_cell_length_c 11.7060
_cell_angle_alpha 90.00
_cell_angle_beta 90.00
_cell_angle_gamma 90.00
loop_
_atom_site_label
_atom_site_type_symbol
_atom_site_fract_x
_atom_site_fract_y
_atom_site_fract_z
Ba1 Ba 0.0000 0.0000 0.0000
Zn1 Zn 0.0000 0.5000 0.7500
In1 In 0.0000 0.5000 0.2500
Pt1 Pt 0.0000 0.0000 0.3833